Computed, not measured: CdTe2AsI after structural relaxation at the PBE level of DFT.

Structure (POSCAR):
```
CdTe2AsI
1.0
5.672 0.000 0.000
0.000 5.672 0.000
0.000 0.000 5.677
As Te I Cd
1 2 1 1
Direct
0.500 0.500 0.500
0.000 0.500 0.000
0.500 0.000 0.000
0.000 0.000 0.500
0.000 0.000 0.000
```

Properties
The magnetic moment comes out at 0.19 μB/atom. For the total energy, the calculation gives -9.84 eV per cell. Its excess energy over the best structure of this formula in the dataset is 385 meV per atom. The value obtained for the volume is 182.6 Å³/f.u.